Record 1
# CaCuP2O7

Crystalline CaCuP2O7 at its relaxed geometry (GGA-PBEsol, the Alexandria database).

a = 7.330 Å, b = 8.440 Å, c = 8.730 Å
α = 90.00°, β = 90.00°, γ = 110.40°
Site moments in Bohr magnetons follow the coordinates.
Fractional coordinates of all 44 atoms:
O: 0.674 0.048 0.733  0.06
O: 0.599 0.624 0.077  0.12
O: 0.590 0.155 0.101  0.07
O: 0.090 0.655 0.399  0.07
O: 0.901 0.876 0.577  0.12
O: 0.910 0.345 0.601  0.07
O: 0.406 0.305 0.286  0.02
O: 0.655 0.124 0.391  0.00
O: 0.845 0.376 0.891  0.00
O: 0.630 0.903 0.184  0.01
O: 0.345 0.876 0.609  0.00
O: 0.094 0.195 0.786  0.02
O: 0.404 0.344 0.631  0.00
O: 0.870 0.597 0.684  0.01
O: 0.155 0.624 0.109  0.00
O: 0.904 0.844 0.869  0.00
O: 0.906 0.805 0.214  0.02
O: 0.596 0.656 0.369  0.00
O: 0.401 0.376 0.923  0.12
O: 0.826 0.452 0.233  0.06
O: 0.174 0.548 0.767  0.06
O: 0.096 0.156 0.131  0.00
O: 0.099 0.124 0.423  0.12
O: 0.326 0.952 0.267  0.06
O: 0.370 0.097 0.816  0.01
O: 0.594 0.695 0.714  0.02
O: 0.130 0.403 0.316  0.01
O: 0.410 0.845 0.899  0.07
P: 0.955 0.455 0.749  0.01
P: 0.314 0.261 0.781  0.00
P: 0.686 0.739 0.219  0.00
P: 0.186 0.239 0.281  0.00
P: 0.545 0.045 0.249  0.01
P: 0.045 0.545 0.251  0.01
P: 0.814 0.761 0.719  0.00
P: 0.455 0.955 0.751  0.01
Cu: 0.110 0.893 0.420  0.67
Cu: 0.890 0.107 0.580  0.67
Cu: 0.610 0.393 0.080  0.67
Cu: 0.390 0.607 0.920  0.67
Ca: 0.157 0.891 0.038  0.00
Ca: 0.343 0.609 0.538  0.00
Ca: 0.843 0.109 0.962  0.00
Ca: 0.657 0.391 0.462  0.00

Mass density (Mg/m³): 3.6
Uncorrected formation energy (eV per atom): -2.1544
Relative energy among the computed polymorphs (meV per atom): 26



Record 2
# CaCuP4O12

Crystalline CaCuP4O12 at its relaxed geometry (GGA-PBEsol, the Alexandria database).

a = 7.508 Å, b = 7.508 Å, c = 9.695 Å
α = 97.83°, β = 112.53°, γ = 109.23°
Site moments in Bohr magnetons follow the coordinates.
Fractional coordinates of all 36 atoms:
O: 0.289 0.295 0.819  0.00
O: 0.976 0.470 0.681  0.00
O: 0.313 0.513 0.049  0.00
O: 0.036 0.736 0.549  0.00
O: 0.964 0.264 0.451  0.00
O: 0.479 0.342 0.651  0.05
O: 0.795 0.702 0.671  0.06
O: 0.711 0.705 0.181  0.00
O: 0.758 0.100 0.581  0.03
O: 0.637 0.323 0.422  0.06
O: 0.687 0.487 0.951  0.00
O: 0.521 0.658 0.349  0.00
O: 0.242 0.900 0.419  0.00
O: 0.400 0.215 0.078  0.06
O: 0.600 0.785 0.922  0.03
O: 0.809 0.172 0.151  0.00
O: 0.191 0.828 0.849  0.05
O: 0.363 0.677 0.578  0.03
O: 0.205 0.298 0.329  0.05
O: 0.469 0.876 0.171  0.05
O: 0.019 0.177 0.919  0.03
O: 0.024 0.530 0.319  0.00
O: 0.981 0.823 0.081  0.00
O: 0.531 0.124 0.829  0.06
Ca: 0.304 0.054 0.250  0.00
Ca: 0.696 0.946 0.750  0.00
P: 0.005 0.695 0.698  0.69
P: 0.248 0.284 0.970  0.00
P: 0.186 0.722 0.470  0.00
P: 0.503 0.692 0.198  0.00
P: 0.497 0.308 0.802  0.69
P: 0.995 0.305 0.302  0.00
P: 0.814 0.278 0.530  0.00
P: 0.752 0.716 0.030  0.00
Cu: 0.500 0.000 0.000  0.00
Cu: 0.500 0.500 0.500  0.00

Mass density (Mg/m³): 3.1
Uncorrected formation energy (eV per atom): -2.1458



Record 3
# CaCu3P3O13

Crystalline CaCu3P3O13 at its relaxed geometry (GGA-PBEsol, the Alexandria database).

a = 6.109 Å, b = 7.389 Å, c = 10.108 Å
α = 99.39°, β = 90.00°, γ = 90.00°
Site moments in Bohr magnetons follow the coordinates.
Fractional coordinates of all 40 atoms:
O: 0.554 0.644 0.763  0.01
O: 0.750 0.396 0.422  0.01
O: 0.250 0.881 0.909  0.08
O: 0.750 0.119 0.091  0.08
O: 0.250 0.489 0.995  0.00
O: 0.446 0.356 0.237  0.01
O: 0.750 0.056 0.385  -0.01
O: 0.750 0.631 0.245  0.00
O: 0.558 0.241 0.597  0.00
O: 0.250 0.157 0.393  0.01
O: 0.442 0.759 0.403  0.00
O: 0.540 0.803 0.095  0.03
O: 0.250 0.944 0.615  -0.01
O: 0.942 0.241 0.597  0.00
O: 0.040 0.197 0.905  0.03
O: 0.960 0.803 0.095  0.03
O: 0.946 0.644 0.763  0.01
O: 0.750 0.843 0.607  0.01
O: 0.058 0.759 0.403  0.00
O: 0.054 0.356 0.237  0.01
O: 0.750 0.511 0.005  0.00
O: 0.250 0.369 0.755  0.00
O: 0.460 0.197 0.905  0.03
O: 0.250 0.060 0.148  0.14
O: 0.750 0.940 0.852  0.14
O: 0.250 0.604 0.578  0.01
Cu: 0.250 0.238 0.579  -0.06
Cu: 0.750 0.762 0.421  -0.06
Cu: 0.500 0.000 0.000  0.29
Cu: 0.750 0.302 0.237  0.04
Cu: 0.000 0.000 0.000  0.29
Cu: 0.250 0.698 0.763  0.04
P: 0.250 0.777 0.507  0.00
P: 0.250 0.313 0.898  0.00
P: 0.250 0.231 0.259  0.00
P: 0.750 0.769 0.741  0.00
P: 0.750 0.687 0.102  0.00
P: 0.750 0.223 0.493  0.00
Ca: 0.250 0.660 0.196  0.00
Ca: 0.750 0.340 0.804  0.00

Mass density (Mg/m³): 3.9
Uncorrected formation energy (eV per atom): -1.6380



Record 4
# CaCuP2O7

Crystalline CaCuP2O7 at its relaxed geometry (GGA-PBEsol, the Alexandria database).

a = 6.189 Å, b = 6.354 Å, c = 7.068 Å
α = 68.59°, β = 85.98°, γ = 82.44°
Site moments in Bohr magnetons follow the coordinates.
Fractional coordinates of all 22 atoms:
O: 0.404 0.738 0.595  0.00
O: 0.216 0.396 0.510  0.00
O: 0.022 0.905 0.269  0.06
O: 0.596 0.262 0.405  0.00
O: 0.978 0.095 0.731  0.06
O: 0.358 0.059 0.819  0.07
O: 0.363 0.612 0.172  0.07
O: 0.784 0.604 0.490  0.00
O: 0.090 0.391 0.853  0.00
O: 0.910 0.609 0.147  0.00
O: 0.642 0.941 0.181  0.07
O: 0.742 0.784 0.758  0.08
O: 0.258 0.216 0.242  0.08
O: 0.637 0.388 0.828  0.07
P: 0.370 0.364 0.326  0.00
P: 0.630 0.636 0.674  0.00
P: 0.840 0.763 0.264  0.00
P: 0.160 0.237 0.736  0.00
Cu: 0.337 0.897 0.245  0.63
Cu: 0.663 0.103 0.755  0.63
Ca: 0.153 0.727 0.861  0.00
Ca: 0.847 0.273 0.139  0.00

Mass density (Mg/m³): 3.6
Uncorrected formation energy (eV per atom): -2.1803
Relative energy among the computed polymorphs (meV per atom): 0



Record 5
# Sr4CaYCu6Pb4O16

Crystalline Sr4CaYCu6Pb4O16 at its relaxed geometry (GGA-PBEsol, the Alexandria database).

a = 5.320 Å, b = 5.320 Å, c = 16.159 Å
α = 99.48°, β = 99.48°, γ = 90.00°
Fractional coordinates of all 32 atoms:
O: 0.875 0.375 0.750
O: 0.809 0.809 0.617
O: 0.793 0.302 0.095
O: 0.793 0.793 0.095
O: 0.302 0.793 0.095
O: 0.302 0.302 0.095
O: 0.207 0.698 0.905
O: 0.692 0.692 0.384
O: 0.375 0.875 0.750
O: 0.207 0.207 0.905
O: 0.308 0.308 0.616
O: 0.125 0.625 0.250
O: 0.698 0.698 0.905
O: 0.698 0.207 0.905
O: 0.191 0.191 0.383
O: 0.625 0.125 0.250
Cu: 0.250 0.250 0.499
Cu: 0.750 0.750 0.501
Cu: 0.553 0.053 0.105
Cu: 0.447 0.947 0.895
Cu: 0.053 0.553 0.105
Cu: 0.947 0.447 0.895
Pb: 0.694 0.194 0.388
Pb: 0.806 0.306 0.612
Pb: 0.194 0.694 0.388
Pb: 0.306 0.806 0.612
Y: 0.500 0.500 0.000
Sr: 0.610 0.610 0.220
Sr: 0.109 0.109 0.218
Sr: 0.891 0.891 0.782
Sr: 0.390 0.390 0.780
Ca: 0.000 0.000 0.000

Mass density (Mg/m³): 7.3
Uncorrected formation energy (eV per atom): -1.6713



Record 6
# Sr2CaPr3Cu4O12

Crystalline Sr2CaPr3Cu4O12 at its relaxed geometry (GGA-PBEsol, the Alexandria database).

a = 5.335 Å, b = 5.340 Å, c = 10.064 Å
α = 105.38°, β = 90.00°, γ = 90.00°
Fractional coordinates of all 22 atoms:
O: 0.750 0.334 0.168
O: 0.748 0.168 0.825
O: 0.252 0.657 0.825
O: 0.748 0.657 0.825
O: 0.252 0.168 0.825
O: 0.750 0.834 0.168
O: 0.500 0.803 0.607
O: 0.250 0.834 0.168
O: 0.000 0.704 0.409
O: 0.250 0.334 0.168
O: 0.000 0.296 0.591
O: 0.500 0.204 0.408
Ca: 0.500 0.503 0.007
Cu: 0.500 0.089 0.178
Cu: 0.500 0.912 0.824
Cu: 0.000 0.588 0.177
Cu: 0.000 0.415 0.829
Pr: 0.000 0.822 0.644
Pr: 0.500 0.323 0.647
Pr: 0.000 0.176 0.351
Sr: 0.000 0.999 0.998
Sr: 0.500 0.679 0.357

Mass density (Mg/m³): 6.5
Uncorrected formation energy (eV per atom): -2.1630



Record 7
# Ca7CuPt2O12

Crystalline Ca7CuPt2O12 at its relaxed geometry (GGA-PBEsol, the Alexandria database).

a = 6.457 Å, b = 6.501 Å, c = 6.501 Å
α = 90.98°, β = 90.60°, γ = 90.60°
Site moments in Bohr magnetons follow the coordinates.
Fractional coordinates of all 22 atoms:
Cu: 0.500 0.691 0.309  0.51
Ca: 0.368 0.244 0.384  0.00
Ca: 0.632 0.616 0.756  0.00
Ca: 0.866 0.390 0.248  0.00
Ca: 0.500 0.097 0.903  0.00
Ca: 0.000 0.888 0.112  0.00
Ca: 0.000 0.246 0.754  0.00
Ca: 0.134 0.752 0.610  0.00
O: 0.206 0.596 0.292  0.08
O: 0.818 0.939 0.788  0.00
O: 0.544 0.477 0.095  0.09
O: 0.687 0.076 0.196  0.00
O: 0.313 0.804 0.924  0.00
O: 0.050 0.078 0.446  0.00
O: 0.456 0.905 0.523  0.09
O: 0.794 0.708 0.404  0.08
O: 0.182 0.212 0.061  0.00
O: 0.950 0.554 0.922  0.00
O: 0.303 0.427 0.701  0.00
O: 0.697 0.299 0.573  0.00
Pt: 0.250 0.511 0.997  0.00
Pt: 0.750 0.003 0.489  0.00

Mass density (Mg/m³): 5.6
Uncorrected formation energy (eV per atom): -2.1625



Record 8
# CaCu3Pt4O12

Crystalline CaCu3Pt4O12 at its relaxed geometry (GGA-PBEsol, the Alexandria database).

a = 6.488 Å, b = 6.488 Å, c = 6.488 Å
α = 109.47°, β = 109.47°, γ = 109.47°
Site moments in Bohr magnetons follow the coordinates.
Fractional coordinates of all 20 atoms:
Pt: 0.500 0.000 0.000  0.07
Pt: 0.000 0.500 0.000  0.07
Pt: 0.500 0.500 0.500  0.07
Pt: 0.000 0.000 0.500  0.07
O: 0.694 0.833 0.527  0.06
O: 0.167 0.860 0.694  0.06
O: 0.306 0.833 0.140  0.06
O: 0.473 0.306 0.167  0.06
O: 0.694 0.167 0.860  0.06
O: 0.527 0.694 0.833  0.06
O: 0.833 0.140 0.306  0.06
O: 0.860 0.694 0.167  0.06
O: 0.140 0.306 0.833  0.06
O: 0.833 0.527 0.694  0.06
O: 0.306 0.167 0.473  0.06
O: 0.167 0.473 0.306  0.06
Cu: 0.000 0.500 0.500  0.37
Cu: 0.500 0.000 0.500  0.37
Cu: 0.500 0.500 0.000  0.37
Ca: 0.000 0.000 0.000  0.00

Mass density (Mg/m³): 9.5
Uncorrected formation energy (eV per atom): -0.7698



Record 9
# Ca5Cu2Rh2O12

Crystalline Ca5Cu2Rh2O12 at its relaxed geometry (GGA-PBEsol, the Alexandria database).

a = 6.320 Å, b = 6.424 Å, c = 6.434 Å
α = 92.57°, β = 90.35°, γ = 91.26°
Site moments in Bohr magnetons follow the coordinates.
Fractional coordinates of all 21 atoms:
O: 0.953 0.630 0.284  0.02
O: 0.914 0.225 0.061  0.18
O: 0.212 0.861 0.532  0.05
O: 0.448 0.067 0.216  0.16
O: 0.537 0.700 0.394  -0.01
O: 0.471 0.286 0.619  0.01
O: 0.044 0.400 0.710  0.02
O: 0.786 0.105 0.474  0.03
O: 0.068 0.795 0.920  0.09
O: 0.563 0.922 0.789  0.12
O: 0.709 0.535 0.877  0.01
O: 0.295 0.475 0.094  0.03
Ca: 0.249 0.111 0.925  0.00
Ca: 0.762 0.907 0.105  0.00
Ca: 0.625 0.380 0.247  0.00
Ca: 0.371 0.610 0.759  0.00
Ca: 0.874 0.772 0.613  0.00
Cu: 0.759 0.312 0.683  -0.03
Cu: 0.247 0.670 0.314  -0.06
Rh: 0.492 0.996 0.502  0.61
Rh: 0.996 0.505 0.996  0.57

Mass density (Mg/m³): 4.6
Uncorrected formation energy (eV per atom): -1.7684



Record 10
# Ca3CuRhO6

Crystalline Ca3CuRhO6 at its relaxed geometry (GGA-PBEsol, the Alexandria database).

a = 6.355 Å, b = 6.419 Å, c = 6.419 Å
α = 91.23°, β = 90.27°, γ = 90.27°
Site moments in Bohr magnetons follow the coordinates.
Fractional coordinates of all 22 atoms:
O: 0.432 0.078 0.209  -0.06
O: 0.707 0.529 0.894  0.03
O: 0.044 0.395 0.708  0.05
O: 0.207 0.894 0.529  0.03
O: 0.293 0.471 0.106  0.03
O: 0.568 0.922 0.791  -0.06
O: 0.544 0.708 0.395  0.05
O: 0.793 0.106 0.471  0.03
O: 0.932 0.209 0.078  -0.06
O: 0.068 0.791 0.922  -0.06
O: 0.456 0.292 0.605  0.05
O: 0.956 0.605 0.292  0.05
Rh: 0.000 0.500 0.000  -0.33
Rh: 0.500 0.000 0.500  -0.33
Ca: 0.624 0.386 0.238  0.00
Ca: 0.250 0.100 0.900  0.00
Ca: 0.876 0.762 0.614  0.00
Ca: 0.376 0.614 0.762  0.00
Ca: 0.124 0.238 0.386  0.00
Ca: 0.750 0.900 0.100  0.00
Cu: 0.250 0.691 0.309  0.32
Cu: 0.750 0.309 0.691  0.32

Mass density (Mg/m³): 4.9
Uncorrected formation energy (eV per atom): -1.9874



Record 11
# Ca2CuSbO6

Crystalline Ca2CuSbO6 at its relaxed geometry (GGA-PBEsol, the Alexandria database).

a = 5.715 Å, b = 5.982 Å, c = 7.395 Å
α = 90.00°, β = 90.00°, γ = 105.72°
Fractional coordinates of all 20 atoms:
Ca: 0.068 0.046 0.250
Ca: 0.537 0.583 0.250
Ca: 0.932 0.954 0.750
Ca: 0.463 0.417 0.750
O: 0.903 0.559 0.750
O: 0.097 0.441 0.250
O: 0.352 0.687 0.961
O: 0.875 0.766 0.055
O: 0.648 0.313 0.039
O: 0.648 0.313 0.461
O: 0.352 0.687 0.539
O: 0.430 0.938 0.250
O: 0.570 0.062 0.750
O: 0.875 0.766 0.445
O: 0.125 0.234 0.945
O: 0.125 0.234 0.555
Cu: 0.500 0.000 0.000
Cu: 0.500 0.000 0.500
Sb: 0.000 0.500 0.500
Sb: 0.000 0.500 0.000

Mass density (Mg/m³): 4.9
Uncorrected formation energy (eV per atom): -1.9004



Calculated total energy in order - -313.97 -262.50 -267.02 -157.56 -195.79 -149.28 -143.76 -121.38 -135.74 -144.46 -127.32 eV/cell